Na2Ta2Pd3 | OQMD | PBE | optimized geometry; crystal system = trigonal; raw total energy = -5.633 eV/atom
1.0
2.249 1.298 7.296
-2.249 1.298 7.296
0.000 -2.596 7.296
Na Ta Pd
2 2 3
Direct
0.000 0.000 0.000
0.489 0.489 0.489
0.242 0.242 0.242
0.744 0.744 0.744
0.366 0.366 0.366
0.618 0.618 0.618
0.869 0.869 0.869


Gd2ZnTe2S2O14 | OQMD | PBE | optimized geometry; crystal system = triclinic; raw total energy = -6.399 eV/atom
1.0
5.236 0.000 0.000
0.681 7.760 0.000
2.291 3.431 6.892
Gd Zn Te S O
2 1 2 2 14
Direct
0.067 0.252 0.015
0.933 0.748 0.985
0.000 0.000 0.500
0.495 0.732 0.652
0.505 0.268 0.348
0.255 0.748 0.257
0.745 0.252 0.743
0.136 0.759 0.442
0.140 0.580 0.257
0.187 0.920 0.092
0.253 0.560 0.888
0.260 0.934 0.663
0.275 0.194 0.245
0.454 0.265 0.772
0.546 0.735 0.228
0.725 0.806 0.755
0.740 0.066 0.337
0.747 0.440 0.112
0.813 0.080 0.908
0.860 0.420 0.743
0.864 0.241 0.558


Sm2NiGe | OQMD | PBE | optimized geometry; crystal system = orthorhombic; raw total energy = -5.520 eV/atom
1.0
4.180 0.000 0.000
0.000 2.014 5.469
0.000 -2.014 5.469
Sm Ni Ge
2 1 1
Direct
0.000 0.000 0.000
0.500 0.278 0.278
0.500 0.565 0.565
0.000 0.709 0.709


YGa6Ni6 | OQMD | PBE | optimized geometry; crystal system = orthorhombic; raw total energy = -4.954 eV/atom
1.0
-2.511 4.124 4.338
2.511 -4.124 4.338
2.511 4.124 -4.338
Y Ga Ni
1 6 6
Direct
0.000 0.000 0.000
0.186 0.686 0.500
0.343 0.000 0.343
0.345 0.345 0.000
0.655 0.655 0.000
0.657 0.000 0.657
0.814 0.314 0.500
0.000 0.000 0.500
0.000 0.500 0.000
0.238 0.500 0.738
0.500 0.000 0.000
0.500 0.500 0.500
0.762 0.500 0.262


Be2HPt2 | OQMD | PBE | optimized geometry; crystal system = tetragonal; raw total energy = -4.871 eV/atom
1.0
5.587 0.000 0.000
0.000 5.587 0.000
0.000 0.000 3.483
Be H Pt
4 2 4
Direct
0.138 0.362 0.000
0.362 0.862 0.000
0.638 0.138 0.000
0.862 0.638 0.000
0.000 0.000 0.500
0.500 0.500 0.500
0.172 0.672 0.500
0.328 0.172 0.500
0.672 0.828 0.500
0.828 0.328 0.500


Er7Co2Te2 | OQMD | PBE | optimized geometry; crystal system = orthorhombic; raw total energy = -5.379 eV/atom
1.0
-1.901 7.733 4.706
1.901 -7.733 4.706
1.901 7.733 -4.706
Er Co Te
7 2 2
Direct
0.000 0.000 0.000
0.283 0.417 0.866
0.307 0.622 0.686
0.551 0.417 0.134
0.623 0.271 0.353
0.918 0.271 0.647
0.936 0.622 0.314
0.166 0.928 0.237
0.691 0.928 0.763
0.265 0.765 0.500
0.663 0.663 0.000


K3PrP2 | OQMD | PBE | optimized geometry; crystal system = orthorhombic; raw total energy = -3.750 eV/atom
1.0
-3.933 7.583 3.724
3.933 -7.583 3.724
3.933 7.583 -3.724
K Pr P
6 2 4
Direct
0.197 0.700 0.897
0.250 0.250 0.000
0.303 0.200 0.503
0.697 0.800 0.497
0.750 0.750 0.000
0.803 0.300 0.103
0.250 0.750 0.500
0.750 0.250 0.500
0.100 0.302 0.402
0.400 0.802 0.203
0.600 0.198 0.797
0.900 0.698 0.598


Hf4GaBiN2 | OQMD | PBE | optimized geometry; crystal system = hexagonal; raw total energy = -8.884 eV/atom
1.0
3.278 0.000 0.000
-1.639 2.839 0.000
0.000 0.000 14.212
Hf Ga Bi N
4 1 1 2
Direct
0.000 0.000 0.154
0.000 0.000 0.846
0.333 0.667 0.327
0.333 0.667 0.673
0.333 0.667 0.000
0.000 0.000 0.500
0.667 0.333 0.239
0.667 0.333 0.761


Co3Sb4Se | OQMD | PBE | optimized geometry; crystal system = cubic; raw total energy = -4.912 eV/atom
1.0
5.367 0.000 0.000
0.000 5.367 0.000
0.000 0.000 5.367
Co Sb Se
3 4 1
Direct
0.000 0.000 0.500
0.000 0.500 0.000
0.500 0.000 0.000
0.000 0.000 0.000
0.000 0.500 0.500
0.500 0.000 0.500
0.500 0.500 0.000
0.500 0.500 0.500


DyScO3 | OQMD | PBE | optimized geometry; crystal system = orthorhombic; raw total energy = -8.703 eV/atom
1.0
5.711 0.000 0.000
0.000 7.886 0.000
0.000 0.000 5.422
Dy Sc O
4 4 12
Direct
0.062 0.250 0.019
0.438 0.750 0.519
0.562 0.250 0.481
0.938 0.750 0.981
0.000 0.000 0.500
0.000 0.500 0.500
0.500 0.000 0.000
0.500 0.500 0.000
0.057 0.750 0.369
0.194 0.568 0.809
0.194 0.932 0.809
0.306 0.068 0.309
0.306 0.432 0.309
0.443 0.250 0.869
0.557 0.750 0.131
0.694 0.568 0.691
0.694 0.932 0.691
0.806 0.068 0.191
0.806 0.432 0.191
0.943 0.250 0.631


LuThSn | OQMD | PBE | optimized geometry; crystal system = cubic; E above lowest polymorph = 0.00 eV per formula unit
1.0
0.000 3.641 3.641
3.641 0.000 3.641
3.641 3.641 0.000
Lu Th Sn
1 1 1
Direct
0.000 0.000 0.000
0.500 0.500 0.500
0.250 0.250 0.250


Ho2Lu2C3 | OQMD | PBE | optimized geometry; crystal system = monoclinic; raw total energy = -6.838 eV/atom
1.0
6.434 -1.823 0.000
6.434 1.823 0.000
-2.617 0.000 5.384
Ho Lu C
2 2 3
Direct
0.135 0.135 0.493
0.865 0.865 0.507
0.365 0.365 0.056
0.635 0.635 0.944
0.220 0.220 0.204
0.500 0.500 0.500
0.780 0.780 0.796